# 1
Entry from Alexandria: an optimized crystal structure of ZrIn2Pb (GGA-PBE).

As for the calculated total energy: -4.477 eV per atom. As for the formation energy: -0.044 eV/atom.

Structure (CIF):
```
data_ZrIn2Pb
_space_group_name_H-M_alt 'P m m m'
_space_group_IT_number 47
_cell_length_a 3.464
_cell_length_b 4.553
_cell_length_c 6.313
_cell_angle_alpha 90.00
_cell_angle_beta 90.00
_cell_angle_gamma 90.00
loop_
_space_group_symop_operation_xyz
'x,y,z'
'-x,-y,-z'
'-x,-y,z'
'x,y,-z'
'x,-y,-z'
'-x,y,z'
'-x,y,-z'
'x,-y,z'
loop_
_atom_site_label
_atom_site_fract_x
_atom_site_fract_y
_atom_site_fract_z
Zr1 0.000 0.000 0.000
In1 0.500 0.500 0.233
Pb1 0.000 0.000 0.500
```

# 2
Entry from Alexandria: an optimized crystal structure of Zr2InPb (GGA-PBE).

As for the calculated total energy: -6.083 eV per atom. As for the formation energy: -0.198 eV/atom.

Structure (CIF):
```
data_Zr2InPb
_space_group_name_H-M_alt 'C 1 2/m 1'
_space_group_IT_number 12
_cell_length_a 6.469
_cell_length_b 8.848
_cell_length_c 3.221
_cell_angle_alpha 90.00
_cell_angle_beta 90.56
_cell_angle_gamma 90.00
loop_
_space_group_symop_operation_xyz
'x,y,z'
'-x,-y,-z'
'-x,y,-z'
'x,-y,z'
'x+1/2,y+1/2,z'
'-x+1/2,-y+1/2,-z'
'-x+1/2,y+1/2,-z'
'x+1/2,-y+1/2,z'
loop_
_atom_site_label
_atom_site_fract_x
_atom_site_fract_y
_atom_site_fract_z
Zr1 0.250 0.250 0.000
In1 0.000 0.000 0.500
Pb1 0.000 0.500 0.500
```

# 3
Entry from Alexandria: an optimized crystal structure of ZrIn2Pb (GGA-PBE).

As for the calculated total energy: -4.447 eV per atom. As for the formation energy: -0.014 eV/atom.

Structure (CIF):
```
data_ZrIn2Pb
_space_group_name_H-M_alt 'P m m m'
_space_group_IT_number 47
_cell_length_a 3.338
_cell_length_b 5.429
_cell_length_c 5.544
_cell_angle_alpha 90.00
_cell_angle_beta 90.00
_cell_angle_gamma 90.00
loop_
_space_group_symop_operation_xyz
'x,y,z'
'-x,-y,-z'
'-x,-y,z'
'x,y,-z'
'x,-y,-z'
'-x,y,z'
'-x,y,-z'
'x,-y,z'
loop_
_atom_site_label
_atom_site_fract_x
_atom_site_fract_y
_atom_site_fract_z
Zr1 0.000 0.000 0.000
In1 0.000 0.500 0.500
In2 0.500 0.000 0.500
Pb1 0.500 0.500 0.000
```

# 4
Entry from Alexandria: an optimized crystal structure of ZrInPb4 (GGA-PBE).

As for the calculated total energy: -3.986 eV per atom. As for the formation energy: 0.368 eV/atom.

Structure (CIF):
```
data_ZrInPb4
_space_group_name_H-M_alt 'F -4 3 m'
_space_group_IT_number 216
_space_group_name_Hall 'F -4 2 3'
_cell_length_a 8.996
_cell_length_b 8.996
_cell_length_c 8.996
_cell_angle_alpha 90.00
_cell_angle_beta 90.00
_cell_angle_gamma 90.00
loop_
_atom_site_label
_atom_site_fract_x
_atom_site_fract_y
_atom_site_fract_z
Zr1 0.000 0.000 0.000
In1 0.250 0.250 0.750
Pb1 0.126 0.126 0.374
```